No. 1
VASP calculation (PBE) on a relaxed structure of NaY2BrF.

The total energy is -4.627 eV per atom.

It has space group P4/mmm (No. 123), with a = 4.675 Å, b = 4.675 Å, c = 6.165 Å, α = 90.00°, β = 90.00° and γ = 90.00°. The asymmetric unit holds Na at (0.000, 0.000, 0.000), Y at (0.000, 0.500, 0.500), Br at (0.500, 0.500, 0.000) and F at (0.500, 0.500, 0.500).

***

No. 2
VASP calculation (PBE) on a relaxed structure of NaZnBrF2.

The energy above the most stable polymorph in this dataset comes out at 0.000 eV per atom.

It has space group P2_1/m (No. 11), with a = 6.467 Å, b = 4.130 Å, c = 7.504 Å, α = 90.00°, β = 92.84° and γ = 90.00°. The asymmetric unit holds Na at (0.205, 0.250, 0.103), Zn at (0.103, 0.250, 0.651), Br at (0.452, 0.250, 0.750), F at (0.004, 0.250, 0.391) and F at (0.058, 0.750, 0.136).

***

No. 3
VASP calculation (PBE) on a relaxed structure of NaZnBr2F.

The total energy is -3.012 eV per atom.

It has space group P4/mmm (No. 123), with a = 5.307 Å, b = 5.307 Å, c = 3.972 Å, α = 90.00°, β = 90.00° and γ = 90.00°. The asymmetric unit holds Na at (0.000, 0.000, 0.000), Zn at (0.500, 0.500, 0.500), Br at (0.000, 0.500, 0.500) and F at (0.500, 0.500, 0.000).

***

No. 4
VASP calculation (PBE) on a relaxed structure of NaZnBrF2.

The energy above the most stable polymorph in this dataset comes out at 0.117 eV per atom.

It has space group P4/mmm (No. 123), with a = 4.068 Å, b = 4.068 Å, c = 5.392 Å, α = 90.00°, β = 90.00° and γ = 90.00°. The asymmetric unit holds Na at (0.000, 0.000, 0.000), Zn at (0.500, 0.500, 0.500), Br at (0.500, 0.500, 0.000) and F at (0.000, 0.500, 0.500).

***

No. 5
VASP calculation (PBE) on a relaxed structure of NbBr3F.

The energy above the most stable polymorph in this dataset comes out at 2.106 eV per atom.

It has space group Pm-3m (No. 221), with a = 4.818 Å, b = 4.818 Å, c = 4.818 Å, α = 90.00°, β = 90.00° and γ = 90.00°. The asymmetric unit holds Nb at (0.000, 0.000, 0.000), Br at (0.000, 0.500, 0.500) and F at (0.500, 0.500, 0.500).

***

No. 6
VASP calculation (PBE) on a relaxed structure of NbBr3F.

The energy above the most stable polymorph in this dataset comes out at 0.000 eV per atom.

It has space group C2/c (No. 15), with a = 13.010 Å, b = 15.958 Å, c = 5.956 Å, α = 90.00°, β = 97.94° and γ = 90.00°. The asymmetric unit holds Nb at (0.000, 0.045, 0.250), Nb at (0.000, 0.292, 0.750), Br at (0.087, 0.396, 0.539), Br at (0.099, 0.172, 0.479), Br at (0.136, 0.054, 0.963) and F at (0.116, 0.262, 0.962).

***

No. 7
VASP calculation (PBE) on a relaxed structure of NbBr2F.

The energy above the most stable polymorph in this dataset comes out at 0.000 eV per atom.

It has space group P-1 (No. 2), with a = 3.446 Å, b = 4.170 Å, c = 8.107 Å, α = 89.22°, β = 77.80° and γ = 90.00°. The asymmetric unit holds Nb at (0.000, 0.000, 0.000), Br at (0.374, 0.993, 0.253) and F at (0.000, 0.500, 0.000).

***

No. 8
VASP calculation (PBE) on a relaxed structure of NbBr2F.

The energy above the most stable polymorph in this dataset comes out at 1.347 eV per atom.

It has space group R-3m (No. 166, hexagonal axes), with a = 3.5354 Å, b = 3.5354 Å, c = 25.2940 Å, α = 90.00°, β = 90.00° and γ = 120.00°. The asymmetric unit holds Nb at (0.0000, 0.0000, 0.0000), Br at (0.0000, 0.0000, 0.0939) and F at (0.0000, 0.0000, 0.5000).

***

No. 9
VASP calculation (PBE) on a relaxed structure of NbBrF4.

The total energy is -5.506 eV per atom.

It has space group C2/m (No. 12), with a = 18.541 Å, b = 5.088 Å, c = 5.691 Å, α = 90.00°, β = 104.88° and γ = 90.00°. The asymmetric unit holds Nb at (0.024, 0.000, 0.312), Br at (0.242, 0.500, 0.048), F at (0.000, 0.240, 0.000), F at (0.061, 0.240, 0.626) and F at (0.127, 0.000, 0.319).

***

No. 10
VASP calculation (PBE) on a relaxed structure of NbBr2F.

The energy above the most stable polymorph in this dataset comes out at 0.145 eV per atom.

It has space group I-42d (No. 122), with a = 9.820 Å, b = 9.820 Å, c = 4.178 Å, α = 90.00°, β = 90.00° and γ = 90.00°. The asymmetric unit holds Nb at (0.000, 0.000, 0.000), Br at (0.093, 0.750, 0.125) and F at (0.000, 0.000, 0.500).

***

No. 11
VASP calculation (PBE) on a relaxed structure of NbBr3F.

The energy above the most stable polymorph in this dataset comes out at 0.771 eV per atom.

It has space group Pm-3m (No. 221), with a = 5.086 Å, b = 5.086 Å, c = 5.086 Å, α = 90.00°, β = 90.00° and γ = 90.00°. The asymmetric unit holds Nb at (0.000, 0.000, 0.000), Br at (0.000, 0.000, 0.500) and F at (0.500, 0.500, 0.500).

***

No. 12
VASP calculation (PBE) on a relaxed structure of Nb2Br4F.

The total energy is -5.057 eV per atom.

It has space group C2 (No. 5), with a = 8.203 Å, b = 10.860 Å, c = 9.061 Å, α = 90.00°, β = 107.00° and γ = 90.00°. The asymmetric unit holds Nb at (0.017, 0.000, 0.346), Nb at (0.111, 0.198, 0.129), Br at (0.080, 0.812, 0.843), Br at (0.197, 0.148, 0.856), Br at (0.220, 0.501, 0.762), Br at (0.243, 0.413, 0.415), F at (0.000, 0.150, 0.500) and F at (0.000, 0.362, 0.000).

***

| no. | DOS(E_F) (states/eV/f.u.) | total magnetic moment (μB per formula unit) |
| --- | --- | --- |
| 1 | 3.5 | 0.57 |
| 2 | 0.0 | 0.00 |
| 3 | 0.0 | 0.00 |
| 4 | 0.0 | 0.00 |
| 5 | 15.4 | 0.12 |
| 6 | 1.8 | 0.15 |
| 7 | 1.9 | 1.28 |
| 8 | 5.7 | 0.00 |
| 9 | 3.6 | 0.00 |
| 10 | 2.4 | 2.00 |
| 11 | 3.3 | 0.07 |
| 12 | 0.3 | 0.00 |